Below is crystalline Rb2Tl12Pb7 at its relaxed geometry, with properties calculated at the PBE level.

abc: 14.8215 14.8215 3.6264
angles: 90.00 90.00 120.00
Space group P-3 (No. 147)
Symmetry-distinct sites (fractional):
Rb 0.3333 0.6667 0.2520 (multiplicity 2)
Tl 0.0783 0.2445 0.2302 (multiplicity 6)
Tl 0.0831 0.4609 0.7501 (multiplicity 6)
Pb 0.0000 0.0000 0.5000 (multiplicity 1)
Pb 0.1231 0.7092 0.7521 (multiplicity 6)

Properties
Formation energy   -0.02 eV per atom